This record from Alexandria describes a relaxed structure of InCoSeI2. The functional is PBEsol.

Computed properties:
SG: P4/mmm
total energy: -2.77 eV per atom
energy relative to the elements, uncorrected: 855 meV/atom

a = 5.108 Å, b = 5.777 Å, c = 5.777 Å
α = 90.00°, β = 90.00°, γ = 90.00°
Each line ends with the local moment (μB).
Atoms (fractional coordinates):
Se 0.500 0.000 0.000  0.10
In 0.000 0.000 0.000  0.00
I 0.000 0.000 0.500  0.03
Co 0.500 0.500 0.500  2.31
I 0.000 0.500 0.000  0.03